4
Lattice="0.0000 2.9593 2.9593 2.9593 0.0000 2.9593 2.9593 2.9593 0.0000" Properties=species:S:1:pos:R:3 comment="LiGa2Ni, relaxed, DFT PBE" dos_ef_per_ev_cell=1.1 sg="Fm-3m (225)" delta_e_f_ev_per_atom=-0.38 volume_a3_per_atom=12.96 pbc="T T T"
Li 0.0000 0.0000 0.0000
Ga 1.4797 1.4797 1.4797
Ga 4.4390 4.4390 4.4390
Ni 2.9593 2.9593 2.9593